No. 1
# PrTmSi2Mo2C

An optimized crystal structure of PrTmSi2Mo2C (GGA-PBE, OQMD via LeMat-Bulk).

a = 5.922 Å, b = 5.922 Å, c = 7.239 Å
α = 123.64°, β = 123.64°, γ = 38.08°
Positions (direct):
Pr  0.000  0.000  0.000
Tm  0.850  0.850  0.406
Si  0.290  0.290  0.033
Si  0.555  0.555  0.370
Mo  0.216  0.216  0.614
Mo  0.627  0.627  0.778
C  0.418  0.418  0.684

Values from the calculation:
Its theoretical density is 7.46 g/cm³. The total DFT energy (no corrections) comes out at -7.83 eV/atom. As for the symmetry: No. 8.

No. 2
# UBOs

An optimized crystal structure of UBOs (GGA-PBE, OQMD via LeMat-Bulk).

a = 4.071 Å, b = 4.071 Å, c = 4.071 Å
α = 60.00°, β = 60.00°, γ = 60.00°
Positions (direct):
U  0.000  0.000  0.000
B  0.750  0.750  0.750
Os  0.500  0.500  0.500

Values from the calculation:
Its theoretical density is 15.29 g/cm³. As for the symmetry: No. 216. The energy above the most stable polymorph in this dataset is 0 meV per atom.

No. 3
# KDyFeTe3

An optimized crystal structure of KDyFeTe3 (GGA-PBE, OQMD via LeMat-Bulk).

a = 9.276 Å, b = 4.281 Å, c = 11.008 Å
α = 90.00°, β = 110.36°, γ = 90.00°
Positions (direct):
K  0.246  0.250  0.286
K  0.754  0.750  0.714
Dy  0.323  0.750  0.854
Dy  0.677  0.250  0.146
Fe  0.065  0.250  0.580
Fe  0.935  0.750  0.420
Te  0.076  0.250  0.825
Te  0.233  0.750  0.551
Te  0.441  0.750  0.149
Te  0.559  0.250  0.851
Te  0.767  0.250  0.449
Te  0.924  0.750  0.175

Values from the calculation:
Its theoretical density is 5.19 g/cm³. As for the symmetry: No. 11. The energy above the most stable polymorph in this dataset is 4 meV per atom.